(1)
## RbSe3 (PBE-GGA)

Data for crystalline RbSe3 at its relaxed geometry.

Lattice parameters (Å, degrees): 6.7670 6.7670 6.7670 92.23 92.23 92.23
Sites, in units of the cell vectors:
Se1 0.2299 0.8217 0.8217
Se2 0.8217 0.2299 0.8217
Se3 0.7701 0.1783 0.1783
Se4 0.1783 0.7701 0.1783
Se5 0.8217 0.8217 0.2299
Se6 0.1783 0.1783 0.7701
Rb1 0.7253 0.7253 0.7253
Rb2 0.2747 0.2747 0.2747

Output
Energy above the most stable polymorph in this dataset = 95 meV per atom
Symmetry = No. 166

***

(2)
## RbSe (PBE-GGA)

Data for crystalline RbSe at its relaxed geometry.

Lattice parameters (Å, degrees): 14.0349 7.4834 11.6666 90.00 90.00 90.00
Sites, in units of the cell vectors:
Rb1 0.7500 0.7500 0.5271
Rb2 0.5000 0.5000 0.7771
Rb3 0.5000 0.0000 0.2771
Rb4 0.2500 0.2500 0.9729
Rb5 0.0000 0.0000 0.2229
Rb6 0.5000 0.0000 0.7229
Rb7 0.2500 0.7500 0.0271
Rb8 0.2500 0.2500 0.5271
Rb9 0.5000 0.5000 0.2229
Rb10 0.0000 0.0000 0.7771
Rb11 0.0000 0.5000 0.2771
Rb12 0.7500 0.7500 0.9729
Rb13 0.7500 0.2500 0.4729
Rb14 0.2500 0.7500 0.4729
Rb15 0.0000 0.5000 0.7229
Rb16 0.7500 0.2500 0.0271
Se1 0.2500 0.5874 0.7500
Se2 0.7500 0.0874 0.7500
Se3 0.2500 0.0874 0.2500
Se4 0.2500 0.9126 0.7500
Se5 0.5000 0.6626 0.5000
Se6 0.0000 0.6626 0.0000
Se7 0.7500 0.4126 0.7500
Se8 0.0000 0.3374 0.0000
Se9 0.5000 0.3374 0.5000
Se10 0.7500 0.9126 0.2500
Se11 0.5000 0.8374 0.0000
Se12 0.0000 0.1626 0.5000
Se13 0.0000 0.8374 0.5000
Se14 0.5000 0.1626 0.0000
Se15 0.7500 0.5874 0.2500
Se16 0.2500 0.4126 0.2500

Output
Symmetry = No. 70
Total DFT energy (no corrections) = -3.093 eV per atom

***

(3)
## RbSe (PBE-GGA)

Data for crystalline RbSe at its relaxed geometry.

Lattice parameters (Å, degrees): 5.2045 6.0961 5.8270 118.38 90.00 115.27
Sites, in units of the cell vectors:
Se1 0.7900 0.5799 0.5384
Se2 0.2100 0.4201 0.4616
Rb1 0.4014 0.8028 0.1522
Rb2 0.5986 0.1972 0.8478

Output
Symmetry = No. 12
Total DFT energy (no corrections) = -3.019 eV per atom

***

(4)
## RbSe (PBE-GGA)

Data for crystalline RbSe at its relaxed geometry.

Lattice parameters (Å, degrees): 9.4255 9.4255 6.2988 90.00 90.00 120.00
Sites, in units of the cell vectors:
Rb1 0.0000 0.3520 0.0000
Rb2 0.0000 0.6867 0.5000
Rb3 0.3133 0.3133 0.5000
Rb4 0.3520 0.0000 0.0000
Rb5 0.6480 0.6480 0.0000
Rb6 0.6867 0.0000 0.5000
Se1 0.6667 0.3334 0.3059
Se2 0.6667 0.3334 0.6941
Se3 0.3333 0.6666 0.6941
Se4 0.0000 0.0000 0.1929
Se5 0.0000 0.0000 0.8071
Se6 0.3333 0.6666 0.3059

Output
Symmetry = No. 189
Total DFT energy (no corrections) = -3.163 eV per atom

***

(5)
## RbSe (PBE-GGA)

Data for crystalline RbSe at its relaxed geometry.

Lattice parameters (Å, degrees): 4.9987 4.9987 4.9987 60.00 60.00 60.00
Sites, in units of the cell vectors:
Rb1 0.0000 0.0000 0.0000
Se1 0.5000 0.5000 0.5000

Output
Symmetry = No. 225
Total DFT energy (no corrections) = -2.674 eV per atom

***

(6)
## RbSe (PBE-GGA)

Data for crystalline RbSe at its relaxed geometry.

Lattice parameters (Å, degrees): 5.5322 5.5322 6.0508 90.00 90.00 120.00
Sites, in units of the cell vectors:
Se1 0.3333 0.6667 0.2031
Se2 0.3333 0.6667 0.7969
Rb1 0.0000 0.0000 0.5000
Rb2 0.6667 0.3333 0.0000

Output
Symmetry = No. 187
Total DFT energy (no corrections) = -3.151 eV per atom